ErReAg PBE relaxed; ΔE_f = 1.3370 eV per atom
1.0
-1.274 -1.614 4.184
-4.493 0.040 1.245
-2.362 -4.005 0.333
Ag Er Re
1 1 1
Cartesian
-2.032 -1.395 1.441 Ag
0.000 0.000 0.000 Er
-6.096 -4.184 4.322 Re